A geometry-optimized Ho6ZnP2Se3 structure, computed with PBE.

Lattice parameters (Å, degrees): 9.081 9.081 8.206 103.53 103.53 25.38
Fractional coordinates of all 12 atoms:
Ho1 0.004 0.004 0.251
Ho2 0.328 0.328 0.428
Ho3 0.335 0.335 0.904
Ho4 0.665 0.665 0.096
Ho5 0.672 0.672 0.572
Ho6 0.996 0.996 0.749
Zn1 0.500 0.500 0.000
P1 0.167 0.167 0.335
P2 0.833 0.833 0.665
Se1 0.168 0.168 0.832
Se2 0.500 0.500 0.500
Se3 0.832 0.832 0.168

- density of states at the Fermi level (states/eV/cell) = 5.14
- uncorrected energy (eV/atom) = -5.658
- total moment (μB/f.u.) = 0.00

A geometry-optimized MgScTiTl structure, computed with PBE.

Lattice parameters (Å, degrees): 4.906 4.906 4.906 60.00 60.00 60.00
Fractional coordinates of all 4 atoms:
Mg1 0.000 0.000 0.000
Sc1 0.250 0.250 0.250
Ti1 0.750 0.750 0.750
Tl1 0.500 0.500 0.500

- density of states at the Fermi level (states/eV/cell) = 4.13
- uncorrected energy (eV/atom) = -4.524
- total moment (μB/f.u.) = 0.01

A geometry-optimized PrThAgAu structure, computed with PBE.

Lattice parameters (Å, degrees): 3.685 3.685 7.736 90.00 90.00 90.00
Fractional coordinates of all 4 atoms:
Pr1 0.000 0.000 0.000
Th1 0.000 0.000 0.511
Ag1 0.500 0.500 0.254
Au1 0.500 0.500 0.752

- density of states at the Fermi level (states/eV/cell) = 3.68
- uncorrected energy (eV/atom) = -4.972
- total moment (μB/f.u.) = 0.00
- relative energy among the computed polymorphs (meV/atom) = 0

A geometry-optimized PrSc2ZnAu4 structure, computed with PBE.

Lattice parameters (Å, degrees): 9.157 9.157 9.157 29.88 29.88 29.88
Fractional coordinates of all 8 atoms:
Pr1 0.000 0.000 0.000
Sc1 0.235 0.235 0.235
Sc2 0.765 0.765 0.765
Zn1 0.500 0.500 0.500
Au1 0.124 0.124 0.124
Au2 0.397 0.397 0.397
Au3 0.603 0.603 0.603
Au4 0.876 0.876 0.876

- density of states at the Fermi level (states/eV/cell) = 4.73
- uncorrected energy (eV/atom) = -4.644
- total moment (μB/f.u.) = 0.00

A geometry-optimized Be2TlZn structure, computed with PBE.

Lattice parameters (Å, degrees): 3.970 3.970 5.561 109.68 109.68 60.10
Fractional coordinates of all 4 atoms:
Be1 0.169 0.169 0.008
Be2 0.831 0.831 0.992
Tl1 0.000 0.000 0.500
Zn1 0.500 0.500 0.000

- density of states at the Fermi level (states/eV/cell) = 0.89
- uncorrected energy (eV/atom) = -2.481
- total moment (μB/f.u.) = 0.00
- relative energy among the computed polymorphs (meV/atom) = 0

A geometry-optimized BaScTe2 structure, computed with PBE.

Lattice parameters (Å, degrees): 4.423 4.161 8.005 90.00 90.43 90.00
Fractional coordinates of all 4 atoms:
Ba1 0.000 0.000 0.000
Sc1 0.500 0.000 0.500
Te1 0.496 0.500 0.752
Te2 0.504 0.500 0.248

- density of states at the Fermi level (states/eV/cell) = 1.66
- uncorrected energy (eV/atom) = -4.821
- total moment (μB/f.u.) = 0.83
- relative energy among the computed polymorphs (meV/atom) = 202

Copy entry 3 word for word.
A geometry-optimized PrThAgAu structure, computed with PBE.

Lattice parameters (Å, degrees): 3.685 3.685 7.736 90.00 90.00 90.00
Fractional coordinates of all 4 atoms:
Pr1 0.000 0.000 0.000
Th1 0.000 0.000 0.511
Ag1 0.500 0.500 0.254
Au1 0.500 0.500 0.752

- density of states at the Fermi level (states/eV/cell) = 3.68
- uncorrected energy (eV/atom) = -4.972
- total moment (μB/f.u.) = 0.00
- relative energy among the computed polymorphs (meV/atom) = 0